DFT (GGA-PBE) results for a relaxed Ba2Al2Hg crystal.

```
Ba2Al2Hg
1.0
7.534 0.000 0.000
0.000 7.534 0.000
0.000 0.000 5.529
Al Hg Ba
4 2 4
Direct
0.373 0.873 0.000
0.873 0.627 0.000
0.627 0.127 0.000
0.127 0.373 0.000
0.000 0.000 0.000
0.500 0.500 0.000
0.177 0.677 0.500
0.677 0.823 0.500
0.823 0.323 0.500
0.323 0.177 0.500
```

Its formation energy is -10.33 kJ per mole of atoms.

=====

DFT (GGA-PBE) results for a relaxed Ba2AlHg2 crystal.

```
Ba2AlHg2
1.0
9.504 0.000 0.000
0.000 9.504 0.000
0.000 0.000 4.171
Al Hg Ba
2 4 4
Direct
0.000 0.000 0.000
0.500 0.500 0.000
0.133 0.633 0.500
0.633 0.867 0.500
0.867 0.367 0.500
0.367 0.133 0.500
0.337 0.837 0.000
0.837 0.663 0.000
0.663 0.163 0.000
0.163 0.337 0.000
```

Its formation energy is -8.76 kJ per mole of atoms.

=====

DFT (GGA-PBE) results for a relaxed Ba2Al2Hg crystal.

```
Ba2Al2Hg
1.0
-3.030 -0.542 5.991
-4.900 -3.669 -2.810
-1.899 -5.434 2.334
Al Hg Ba
2 1 2
Direct
0.344 0.344 0.313
0.656 0.656 0.687
0.000 0.000 0.000
0.750 0.250 0.500
0.250 0.750 0.500
```

Its formation energy is 0.58 kJ per mole of atoms.

=====

DFT (GGA-PBE) results for a relaxed Ba2AlHg2 crystal.

```
Ba2AlHg2
1.0
6.726 0.000 0.000
0.000 6.726 0.000
3.363 3.363 4.195
Al Hg Ba
1 2 2
Direct
0.000 0.000 0.000
0.330 0.330 0.340
0.670 0.670 0.660
0.750 0.250 0.500
0.250 0.750 0.500
```

Its formation energy is -17.03 kJ per mole of atoms.

=====

DFT (GGA-PBE) results for a relaxed Ba3AlHg crystal.

```
Ba3AlHg
1.0
-3.237 -5.162 2.517
5.717 -2.622 1.975
-0.545 3.152 5.764
Al Hg Ba
1 1 3
Direct
0.000 0.000 0.000
0.500 0.500 0.500
0.000 0.500 0.000
0.000 0.000 0.500
0.500 0.000 0.000
```

Its formation energy is 11.45 kJ per mole of atoms.

=====

DFT (GGA-PBE) results for a relaxed Ba2Al3Hg5 crystal.

```
Ba2Al3Hg5
1.0
-3.169 1.305 3.295
-3.403 0.114 -3.318
-2.511 -11.589 2.176
Ba Al Hg
2 3 5
Direct
0.500 0.000 0.260
0.000 0.500 0.740
0.500 0.000 0.616
0.000 0.500 0.384
0.000 0.000 0.500
0.500 0.500 0.000
0.000 0.000 0.000
0.500 0.000 0.841
0.000 0.500 0.159
0.500 0.500 0.500
```

Its formation energy is -28.58 kJ per mole of atoms.

=====

DFT (GGA-PBE) results for a relaxed BaAl3Hg crystal.

```
BaAl3Hg
1.0
5.283 0.000 0.000
0.000 5.283 0.000
0.000 0.000 5.283
Al Hg Ba
3 1 1
Direct
0.000 0.500 0.000
0.000 0.000 0.500
0.500 0.000 0.000
0.000 0.000 0.000
0.500 0.500 0.500
```

Its formation energy is 28.48 kJ per mole of atoms.

=====

DFT (GGA-PBE) results for a relaxed Ba3Al3Hg8 crystal.

```
Ba3Al3Hg8
1.0
-3.631 2.693 2.764
-3.140 -5.791 6.597
3.466 1.071 8.588
Ba Al Hg
3 3 8
Direct
0.500 0.500 0.500
0.777 0.223 0.223
0.223 0.777 0.777
0.500 0.000 0.000
0.000 0.858 0.142
0.000 0.142 0.858
0.635 0.060 0.671
0.365 0.940 0.329
0.635 0.671 0.060
0.365 0.329 0.940
0.863 0.789 0.485
0.137 0.211 0.515
0.863 0.485 0.789
0.137 0.515 0.211
```

Its formation energy is -30.59 kJ per mole of atoms.

=====

DFT (GGA-PBE) results for a relaxed BaAl3Hg crystal.

```
BaAl3Hg
1.0
-2.638 -3.222 4.825
-4.240 -2.548 -4.019
3.961 -4.873 -1.088
Al Hg Ba
3 1 1
Direct
0.000 0.500 0.000
0.000 0.000 0.500
0.500 0.000 0.000
0.500 0.500 0.500
0.000 0.000 0.000
```

Its formation energy is 128.11 kJ per mole of atoms.

=====

DFT (GGA-PBE) results for a relaxed Ba3AlHg3 crystal.

```
Ba3AlHg3
1.0
4.690 0.000 0.706
2.317 6.339 0.539
-0.132 -0.089 16.799
Ba Al Hg
6 2 6
Direct
0.522 0.350 0.606
0.478 0.650 0.394
0.252 0.255 0.240
0.748 0.745 0.760
0.403 0.277 0.916
0.597 0.723 0.084
0.763 0.070 0.404
0.237 0.930 0.596
0.840 0.776 0.543
0.160 0.224 0.457
0.115 0.848 0.921
0.885 0.152 0.079
0.958 0.838 0.246
0.042 0.162 0.754
```

Its formation energy is -39.71 kJ per mole of atoms.

=====

DFT (GGA-PBE) results for a relaxed Ba8AlHg2 crystal.

```
Ba8AlHg2
1.0
7.134 0.028 -1.228
-2.368 8.370 -3.439
-0.134 -0.068 9.352
Ba Al Hg
8 1 2
Direct
0.579 0.339 0.078
0.579 0.078 0.339
0.179 0.355 0.355
0.985 0.209 0.785
0.985 0.785 0.209
0.803 0.649 0.649
0.371 0.933 0.669
0.371 0.669 0.933
0.179 0.004 0.004
0.484 0.692 0.322
0.484 0.322 0.692
```

Its formation energy is -13.54 kJ per mole of atoms.

=====

DFT (GGA-PBE) results for a relaxed BaAl3Hg crystal.

```
BaAl3Hg
1.0
-1.797 -2.571 -3.210
-2.109 -2.431 3.128
-4.812 3.764 -0.319
Ba Al Hg
1 3 1
Direct
0.500 0.500 0.845
0.000 0.000 0.619
0.500 0.000 0.365
0.000 0.500 0.365
0.000 0.000 0.071
```

Its formation energy is -19.02 kJ per mole of atoms.

=====

Per-record E_tot, eV per atom: -2.434, -1.729, -2.320, -1.815, -1.844, -1.954, -2.395, -1.703, -1.363, -1.900, -1.934, -2.888